Record 1
# TcTeMo PBE relaxed
data_TcTeMo
_chemical_formula_sum 'Tc4 Te4 Mo4'
_symmetry_space_group_name_H-M 'F -4 3 m'
_symmetry_Int_Tables_number 216
_symmetry_space_group_name_Hall 'F -4 2 3'
_cell_length_a 6.1522
_cell_length_b 6.1522
_cell_length_c 6.1522
_cell_angle_alpha 90.00
_cell_angle_beta 90.00
_cell_angle_gamma 90.00
loop_
_atom_site_label
_atom_site_fract_x
_atom_site_fract_y
_atom_site_fract_z
_atom_site_occupancy
Tc1 0.0000 0.0000 0.0000 1
Te1 0.2500 0.2500 0.2500 1
Mo1 0.2500 0.2500 0.7500 1
# - DOS(E_F): 6.29 states/eV/cell
# - Excess energy over the best structure of this formula in the dataset: 0 meV/atom
# - Spin magnetization: 0.0 μB/f.u.
# - Formation energy from raw total energies: 0.20 eV/atom

---

Record 2
# Si2RuBr PBE relaxed
data_Si2RuBr
_chemical_formula_sum 'Si4 Ru2 Br2'
_symmetry_space_group_name_H-M 'C 1 2/m 1'
_symmetry_Int_Tables_number 12
_cell_length_a 11.5945
_cell_length_b 2.8899
_cell_length_c 4.4822
_cell_angle_alpha 90.00
_cell_angle_beta 112.64
_cell_angle_gamma 90.00
loop_
_symmetry_equiv_pos_as_xyz
'x,y,z'
'-x,-y,-z'
'-x,y,-z'
'x,-y,z'
'x+1/2,y+1/2,z'
'-x+1/2,-y+1/2,-z'
'-x+1/2,y+1/2,-z'
'x+1/2,-y+1/2,z'
loop_
_atom_site_label
_atom_site_fract_x
_atom_site_fract_y
_atom_site_fract_z
_atom_site_occupancy
Si1 0.1971 0.0000 0.1971 1
Ru1 0.0000 0.5000 0.0000 1
Br1 0.0000 0.0000 0.5000 1
# - DOS(E_F): 3.69 states/eV/cell
# - Excess energy over the best structure of this formula in the dataset: 446 meV/atom
# - Spin magnetization: 0.0 μB/f.u.
# - Formation energy from raw total energies: 0.47 eV/atom

---

Record 3
# SrSn3C PBE relaxed
data_SrSn3C
_chemical_formula_sum 'Sr1 Sn3 C1'
_symmetry_space_group_name_H-M 'P m -3 m'
_symmetry_Int_Tables_number 221
_symmetry_space_group_name_Hall '-P 4 2 3'
_cell_length_a 6.1558
_cell_length_b 6.1558
_cell_length_c 6.1558
_cell_angle_alpha 90.00
_cell_angle_beta 90.00
_cell_angle_gamma 90.00
loop_
_atom_site_label
_atom_site_fract_x
_atom_site_fract_y
_atom_site_fract_z
_atom_site_occupancy
Sr1 0.0000 0.0000 0.0000 1
Sn1 0.0000 0.0000 0.5000 1
C1 0.5000 0.5000 0.5000 1
# - DOS(E_F): 6.88 states/eV/cell
# - Excess energy over the best structure of this formula in the dataset: 1658 meV/atom
# - Spin magnetization: 0.1 μB/f.u.
# - Energy of formation: 2.21 eV per atom

---

Record 4
# Tb3DyBi3 PBE relaxed
data_Tb3DyBi3
_chemical_formula_sum 'Tb18 Dy6 Bi18'
_symmetry_space_group_name_H-M 'R -3'
_symmetry_Int_Tables_number 148
_symmetry_space_group_name_Hall '-R 3'
_cell_length_a 9.1273
_cell_length_b 9.1273
_cell_length_c 18.8889
_cell_angle_alpha 90.00
_cell_angle_beta 90.00
_cell_angle_gamma 120.00
loop_
_atom_site_label
_atom_site_fract_x
_atom_site_fract_y
_atom_site_fract_z
_atom_site_occupancy
Tb1 0.0014 0.7442 0.0823 1
Dy1 0.0000 0.0000 0.3333 1
Bi1 0.0019 0.6102 0.9161 1
# - DOS(E_F): 32.24 states/eV/cell
# - Excess energy over the best structure of this formula in the dataset: 79 meV/atom
# - Spin magnetization: 0.0 μB/f.u.
# - Energy of formation: -0.67 eV per atom